Material: Rb6Na2HgAu
Method: DFT, PBE-GGA
State: relaxed

a = 9.7679 Å, b = 9.7993 Å, c = 9.7999 Å
α = 90.10°, β = 119.82°, γ = 119.80°
Closest atoms and distances in Å follow each position.
Space group P1 (No. 1)
One atom of each set of equivalent atoms:
Rb 0.0000 0.0000 0.0000  1 Au 3.38, 1 Hg 3.55
Rb 0.0000 0.9996 0.4869  1 Au 3.37, 1 Hg 3.55
Rb 0.9997 0.5122 0.4868  1 Au 3.38, 1 Hg 3.56
Rb 0.9996 0.5124 0.9990  1 Au 3.37, 1 Hg 3.55
Rb 0.4890 0.0002 0.4873  1 Au 3.38, 1 Hg 3.56
Rb 0.5143 0.5140 0.0008  1 Au 3.38, 1 Hg 3.55
Na 0.4965 0.0079 0.9903  12 Rb 4.86-4.95
Na 0.4972 0.5049 0.4933  12 Rb 4.86-4.93
Hg 0.0025 0.2570 0.7445  6 Rb 3.55-3.56
Au 0.0018 0.7567 0.2441  6 Rb 3.37-3.38

## Properties
- electronic total energy (eV per atom) = -1.246
- energy of formation (meV/atom) = -44